Entry 1:
TmPb3 | GGA-PBEsol | optimized geometry

Geometry as CIF:
```
data_TmPb3
_chemical_formula_sum 'Tm1 Pb3'
_cell_length_a 4.7685
_cell_length_b 4.7685
_cell_length_c 4.7685
_cell_angle_alpha 90.00
_cell_angle_beta 90.00
_cell_angle_gamma 90.00
_symmetry_space_group_name_H-M 'P 1'
_symmetry_Int_Tables_number 1
_symmetry_space_group_name_Hall 'P 1'
loop_
_atom_site_label
_atom_site_fract_x
_atom_site_fract_y
_atom_site_fract_z
_atom_site_occupancy
Pb1 0.5000 0.0000 0.5000 1
Pb2 0.0000 0.5000 0.5000 1
Pb3 0.5000 0.5000 0.0000 1
Tm1 0.0000 0.0000 0.0000 1
```

Results
space-group type: Pm-3m (221)
formation enthalpy at 0 K: -0.2621 eV per atom



Entry 2:
PbW2 | GGA-PBEsol | optimized geometry

Geometry as CIF:
```
data_PbW2
_chemical_formula_sum 'Pb1 W2'
_cell_length_a 3.6541
_cell_length_b 3.6541
_cell_length_c 4.6846
_cell_angle_alpha 90.00
_cell_angle_beta 90.00
_cell_angle_gamma 90.00
_symmetry_space_group_name_H-M 'P 1'
_symmetry_Int_Tables_number 1
_symmetry_space_group_name_Hall 'P 1'
loop_
_atom_site_label
_atom_site_fract_x
_atom_site_fract_y
_atom_site_fract_z
_atom_site_occupancy
W1 0.0000 0.5000 0.5000 1
W2 0.5000 0.0000 0.5000 1
Pb1 0.0000 0.0000 0.0000 1
```

Results
space-group type: P4/mmm (123)
formation enthalpy at 0 K: 1.2298 eV per atom



Entry 3:
YPb3W | GGA-PBEsol | optimized geometry

Geometry as CIF:
```
data_YPb3W
_chemical_formula_sum 'Y1 Pb3 W1'
_cell_length_a 5.6295
_cell_length_b 5.6295
_cell_length_c 5.6295
_cell_angle_alpha 90.00
_cell_angle_beta 90.00
_cell_angle_gamma 90.00
_symmetry_space_group_name_H-M 'P 1'
_symmetry_Int_Tables_number 1
_symmetry_space_group_name_Hall 'P 1'
loop_
_atom_site_label
_atom_site_fract_x
_atom_site_fract_y
_atom_site_fract_z
_atom_site_occupancy
Pb1 0.0000 0.5000 0.0000 1
Pb2 0.0000 0.0000 0.5000 1
Pb3 0.5000 0.0000 0.0000 1
W1 0.5000 0.5000 0.5000 1
Y1 0.0000 0.0000 0.0000 1
```

Results
space-group type: Pm-3m (221)
formation enthalpy at 0 K: 1.7690 eV per atom



Entry 4:
YPbW2 | GGA-PBEsol | optimized geometry

Geometry as CIF:
```
data_YPbW2
_chemical_formula_sum 'Y1 Pb1 W2'
_cell_length_a 4.0964
_cell_length_b 4.0964
_cell_length_c 4.6696
_cell_angle_alpha 90.00
_cell_angle_beta 90.00
_cell_angle_gamma 90.00
_symmetry_space_group_name_H-M 'P 1'
_symmetry_Int_Tables_number 1
_symmetry_space_group_name_Hall 'P 1'
loop_
_atom_site_label
_atom_site_fract_x
_atom_site_fract_y
_atom_site_fract_z
_atom_site_occupancy
W1 0.5000 0.0000 0.0000 1
W2 0.0000 0.5000 0.0000 1
Y1 0.5000 0.5000 0.5000 1
Pb1 0.0000 0.0000 0.5000 1
```

Results
space-group type: P4/mmm (123)
formation enthalpy at 0 K: 0.6719 eV per atom



Entry 5:
ZnPb2W | GGA-PBEsol | optimized geometry

Geometry as CIF:
```
data_ZnPb2W
_chemical_formula_sum 'Zn1 Pb2 W1'
_cell_length_a 2.9387
_cell_length_b 5.2853
_cell_length_c 5.7489
_cell_angle_alpha 105.03
_cell_angle_beta 104.81
_cell_angle_gamma 90.00
_symmetry_space_group_name_H-M 'P 1'
_symmetry_Int_Tables_number 1
_symmetry_space_group_name_Hall 'P 1'
loop_
_atom_site_label
_atom_site_fract_x
_atom_site_fract_y
_atom_site_fract_z
_atom_site_occupancy
W1 0.5352 0.4703 0.0704 1
Zn1 0.2156 0.7823 0.4313 1
Pb1 0.7756 0.3092 0.5511 1
Pb2 0.9736 0.9382 0.9472 1
```

Results
space-group type: Cm (8)
formation enthalpy at 0 K: 0.7118 eV per atom



Entry 6:
Zn2PbW2 | GGA-PBEsol | optimized geometry

Geometry as CIF:
```
data_Zn2PbW2
_chemical_formula_sum 'Zn2 Pb1 W2'
_cell_length_a 3.6643
_cell_length_b 3.6643
_cell_length_c 6.9920
_cell_angle_alpha 105.19
_cell_angle_beta 105.19
_cell_angle_gamma 90.00
_symmetry_space_group_name_H-M 'P 1'
_symmetry_Int_Tables_number 1
_symmetry_space_group_name_Hall 'P 1'
loop_
_atom_site_label
_atom_site_fract_x
_atom_site_fract_y
_atom_site_fract_z
_atom_site_occupancy
Pb1 0.0000 0.0000 0.0000 1
Zn1 0.7500 0.2500 0.5000 1
Zn2 0.2500 0.7500 0.5000 1
W1 0.4018 0.4018 0.8036 1
W2 0.5982 0.5982 0.1964 1
```

Results
space-group type: I4/mmm (139)
formation enthalpy at 0 K: 0.9059 eV per atom



| no. | D(E_F) (states/eV/f.u.) |
| --- | --- |
| 1 | 2.469 |
| 2 | 1.881 |
| 3 | 3.668 |
| 4 | 2.427 |
| 5 | 1.950 |
| 6 | 4.547 |